[1]
An optimized crystal structure of La2Tm2Sb2C, computed with PBE-GGA.

POSCAR file:
```
La2Tm2Sb2C
1.0
-2.3875 2.3875 8.2873
2.3875 -2.3875 8.2873
2.3875 2.3875 -8.2873
La Tm Sb C
2 2 2 1
Cartesian
0.0000 0.0000 2.7038 La
0.0000 0.0000 13.8709 La
2.3875 0.0000 0.0000 Tm
0.0000 2.3875 0.0000 Tm
0.0000 0.0000 6.0886 Sb
0.0000 0.0000 10.4861 Sb
0.0000 0.0000 0.0000 C
```

- Formation energy from raw total energies: -0.92 eV per atom
- Symmetry: No. 139


[2]
An optimized crystal structure of La2SbWC, computed with PBE-GGA.

POSCAR file:
```
La2SbWC
1.0
5.1403 0.0000 0.0000
0.0000 5.1403 0.0000
0.0000 0.0000 4.4722
La Sb W C
2 1 1 1
Cartesian
0.0000 2.5702 0.0000 La
2.5702 0.0000 0.0000 La
0.0000 0.0000 2.2361 Sb
2.5702 2.5702 2.2361 W
0.0000 0.0000 0.0000 C
```

- Formation energy from raw total energies: 0.65 eV per atom
- Symmetry: No. 123


[3]
An optimized crystal structure of La2ZnSbC, computed with PBE-GGA.

POSCAR file:
```
La2ZnSbC
1.0
5.3937 0.0000 0.0000
0.0000 5.3937 0.0000
0.0000 0.0000 4.0788
La Zn Sb C
2 1 1 1
Cartesian
0.0000 2.6968 0.0000 La
2.6968 0.0000 0.0000 La
0.0000 0.0000 2.0394 Zn
2.6968 2.6968 2.0394 Sb
0.0000 0.0000 0.0000 C
```

- Formation energy from raw total energies: -0.48 eV per atom
- Symmetry: No. 123


[4]
An optimized crystal structure of LaZr2SbC, computed with PBE-GGA.

POSCAR file:
```
LaZr2SbC
1.0
4.5923 0.0000 0.0000
0.0000 4.5923 0.0000
0.0000 0.0000 5.2714
La Zr Sb C
1 2 1 1
Cartesian
0.0000 0.0000 0.0000 La
0.0000 2.2961 2.6357 Zr
2.2961 0.0000 2.6357 Zr
2.2961 2.2961 0.0000 Sb
0.0000 0.0000 2.6357 C
```

- Formation energy from raw total energies: -0.44 eV per atom
- Symmetry: No. 123


[5]
An optimized crystal structure of La2ZrSbC, computed with PBE-GGA.

POSCAR file:
```
La2ZrSbC
1.0
5.1229 0.0000 0.0000
0.0000 5.1229 0.0000
0.0000 0.0000 4.7268
La Zr Sb C
2 1 1 1
Cartesian
0.0000 2.5615 0.0000 La
2.5615 0.0000 0.0000 La
0.0000 0.0000 2.3634 Zr
2.5615 2.5615 2.3634 Sb
2.5615 2.5615 0.0000 C
```

- Formation energy from raw total energies: 0.19 eV per atom
- Symmetry: No. 123


[6]
An optimized crystal structure of LaScC, computed with PBE-GGA.

POSCAR file:
```
LaScC
1.0
3.5528 0.0000 0.0000
0.0000 4.6187 0.0000
0.0000 0.0000 8.5171
La Sc C
2 2 2
Cartesian
0.8882 1.1547 1.5525 La
2.6646 3.4640 6.9646 La
0.8882 1.1547 4.8637 Sc
2.6646 3.4640 3.6534 Sc
0.8882 3.4640 5.1761 C
2.6646 1.1547 3.3410 C
```

- E_form: -280 meV per atom
- Distance to the lowest polymorph of the same formula: 0.0000 eV/atom
- Symmetry: No. 59


[7]
An optimized crystal structure of LaSc2C, computed with PBE-GGA.

POSCAR file:
```
LaSc2C
1.0
0.0000 4.8037 4.8037
4.8037 0.0000 4.8037
4.8037 4.8037 0.0000
La Sc C
2 4 2
Cartesian
1.2009 1.2009 1.2009 La
8.4064 8.4064 8.4064 La
4.8037 2.4018 2.4018 Sc
2.4018 4.8037 2.4018 Sc
2.4018 2.4018 4.8037 Sc
4.8037 4.8037 4.8037 Sc
3.6027 3.6027 3.6027 C
6.0046 6.0046 6.0046 C
```

- E_form: 115 meV per atom
- Symmetry: No. 227


[8]
An optimized crystal structure of LaScC2, computed with PBE-GGA.

POSCAR file:
```
LaScC2
1.0
0.0000 3.0950 3.0950
3.0950 0.0000 3.0950
3.0950 3.0950 0.0000
La Sc C
1 1 2
Cartesian
0.0000 0.0000 0.0000 La
3.0950 3.0950 3.0950 Sc
1.5475 1.5475 1.5475 C
4.6425 4.6425 4.6425 C
```

- E_form: 611 meV per atom
- Distance to the lowest polymorph of the same formula: 0.1732 eV/atom
- Symmetry: No. 225


[9]
An optimized crystal structure of LaScC, computed with PBE-GGA.

POSCAR file:
```
LaScC
1.0
3.5123 0.0000 0.0000
-1.7562 3.0417 0.0000
0.0000 0.0000 6.4137
La Sc C
1 1 1
Cartesian
0.0000 0.0000 0.0000 La
0.0000 2.0278 3.7495 Sc
1.7562 1.0139 4.7953 C
```

- E_form: -196 meV per atom
- Distance to the lowest polymorph of the same formula: 0.0836 eV/atom
- Symmetry: No. 156


[10]
An optimized crystal structure of LaSc2C, computed with PBE-GGA.

POSCAR file:
```
LaSc2C
1.0
1.6664 0.9621 9.4637
-1.6664 0.9621 9.4637
0.0000 -1.9241 9.4637
La Sc C
1 2 1
Cartesian
0.0000 0.0000 0.0000 La
0.0000 0.0000 3.5063 Sc
0.0000 0.0000 24.8848 Sc
0.0000 0.0000 14.1956 C
```

- E_form: -233 meV per atom
- Symmetry: No. 166


[11]
An optimized crystal structure of LaSc2C, computed with PBE-GGA.

POSCAR file:
```
LaSc2C
1.0
1.7275 0.9974 9.9600
-1.7275 0.9974 9.9600
0.0000 -1.9947 9.9600
La Sc C
1 2 1
Cartesian
0.0000 0.0000 0.0000 La
0.0000 0.0000 12.8684 Sc
0.0000 0.0000 17.0117 Sc
0.0000 0.0000 14.9400 C
```

- E_form: 947 meV per atom
- Symmetry: No. 166


[12]
An optimized crystal structure of LaScC2, computed with PBE-GGA.

POSCAR file:
```
LaScC2
1.0
-2.5967 2.5967 5.8160
2.5967 -2.5967 5.8160
2.5967 2.5967 -5.8160
La Sc C
2 2 4
Cartesian
0.0000 0.0000 0.0000 La
0.0000 2.5967 2.9080 La
2.5967 0.0000 2.9080 Sc
0.0000 0.0000 5.8160 Sc
1.2983 -1.0644 4.3620 C
1.5322 1.2983 1.4540 C
1.2983 3.6611 -1.4540 C
1.0644 1.2983 7.2700 C
```

- E_form: 438 meV per atom
- Distance to the lowest polymorph of the same formula: 0.0000 eV/atom
- Symmetry: No. 122


The calculation returns the following total magnetic moment values, one per record and in order: 0.000, 0.339, 0.000, 0.000, 0.000, 0.008, 0.000, 0.000, 0.000, 0.000, 0.000, 0.000 μB per atom.